Entry 1:
A plane-wave DFT calculation with PBE-GGA was carried out for La8Tc2Au after structural relaxation.

Geometry as extended XYZ:
```
11
Lattice="0.2667 2.6717 -5.6225 -4.4779 -6.4502 -1.8040 -3.7351 5.8579 4.0798" Properties=species:S:1:pos:R:3 pbc="T T T"
La -1.7073 -0.2153 -3.4835
La -1.5129 3.0044 -1.9443
La -3.0337 0.2959 -0.2359
La -3.3873 5.7536 -2.7532
La -3.8019 -1.1172 -6.0377
La -4.9652 1.7503 -3.0345
La -6.3692 -1.1025 -1.1414
La -6.1701 2.1966 0.4358
Tc -4.5654 -1.3873 -2.8648
Tc -4.2683 3.5347 -0.5118
Au -8.1751 -0.2572 1.5701
```

Output
Symmetry   Cm, No. 8
ΔH_f (0 K)   -0.103 eV per atom


Entry 2:
A plane-wave DFT calculation with PBE-GGA was carried out for LaTc2Au after structural relaxation.

Geometry as extended XYZ:
```
8
Lattice="4.1085 0.0000 0.0000 0.0000 4.1085 0.0000 2.0543 2.0543 10.4064" Properties=species:S:1:pos:R:3 pbc="T T T"
Au 0.0000 0.0000 0.0000
Au 4.1085 2.0543 5.2032
Tc 2.7648 1.0271 2.6016
Tc 1.3437 3.0814 2.6016
Tc 3.0814 3.3980 7.8048
Tc 5.1357 4.8191 7.8048
La 2.0543 2.0543 0.0000
La 2.0543 4.1085 5.2032
```

Output
Symmetry   I-42d, No. 122
Energy above the most stable polymorph in this dataset   2.35 eV per formula unit
ΔH_f (0 K)   0.556 eV per atom


Entry 3:
A plane-wave DFT calculation with PBE-GGA was carried out for LaTc2Au after structural relaxation.

Geometry as extended XYZ:
```
4
Lattice="4.7847 0.0000 0.0000 2.3924 4.1437 0.0000 2.3924 1.3812 3.9067" Properties=species:S:1:pos:R:3 pbc="T T T"
Au 4.7847 2.7625 1.9534
La 7.1771 4.1437 2.9300
Tc 0.0000 0.0000 0.0000
Tc 2.3924 1.3812 0.9767
```

Output
Symmetry   F-43m, No. 216
Energy above the most stable polymorph in this dataset   1.58 eV per formula unit
ΔH_f (0 K)   0.364 eV per atom


Entry 4:
A plane-wave DFT calculation with PBE-GGA was carried out for LaTcAu2 after structural relaxation.

Geometry as extended XYZ:
```
4
Lattice="3.6552 0.0094 0.0000 -0.0087 3.6552 0.0000 0.0000 0.0000 6.3921" Properties=species:S:1:pos:R:3 pbc="T T T"
Au 0.0000 0.0000 6.2003
Au 1.8232 1.8323 1.4597
La 0.0000 0.0000 3.2070
Tc 1.8232 1.8323 5.1133
```

Output
Symmetry   P4mm, No. 99
Energy above the most stable polymorph in this dataset   0.55 eV per formula unit
ΔH_f (0 K)   0.060 eV per atom


Entry 5:
A plane-wave DFT calculation with PBE-GGA was carried out for LaTiTcAu2 after structural relaxation.

Geometry as extended XYZ:
```
5
Lattice="5.4268 0.0000 0.0000 0.0000 4.7758 0.0000 0.0000 0.0000 5.4268" Properties=species:S:1:pos:R:3 pbc="T T T"
Ti 2.7134 2.3879 2.7134
Au 0.0000 0.0000 2.7134
Au 2.7134 0.0000 0.0000
Tc 0.0000 2.3879 0.0000
La 0.0000 0.0000 0.0000
```

Output
Symmetry   P4/mmm, No. 123
ΔH_f (0 K)   1.356 eV per atom


Entry 6:
A plane-wave DFT calculation with PBE-GGA was carried out for LaTlTcAu2 after structural relaxation.

Geometry as extended XYZ:
```
5
Lattice="-3.1740 -0.9180 -4.4087 0.1121 -6.0398 1.1770 -4.5022 0.5267 3.1316" Properties=species:S:1:pos:R:3 pbc="T T T"
Tl 0.0561 -3.0199 0.5885
Au -2.2511 0.2633 1.5658
Au -1.5870 -0.4590 -2.2044
Tc -3.7820 -3.2156 -0.0501
La 0.0000 0.0000 0.0000
```

Output
Symmetry   P4/mmm, No. 123
ΔH_f (0 K)   1.272 eV per atom


Entry 7:
A plane-wave DFT calculation with PBE-GGA was carried out for LaVTc2Au after structural relaxation.

Geometry as extended XYZ:
```
5
Lattice="-3.0903 -3.2766 -0.1999 1.2104 -0.8343 -5.0381 3.1137 -3.0127 1.2469" Properties=species:S:1:pos:R:3 pbc="T T T"
V 0.0000 0.0000 0.0000
Au 0.6169 -3.5618 -1.9955
Tc 1.5568 -1.5063 0.6235
Tc -1.5451 -1.6383 -0.0999
La 0.6052 -0.4171 -2.5191
```

Output
Symmetry   P4/mmm, No. 123
ΔH_f (0 K)   0.841 eV per atom


Entry 8:
A plane-wave DFT calculation with PBE-GGA was carried out for La4Te3Au after structural relaxation.

Geometry as extended XYZ:
```
8
Lattice="-0.0726 0.5375 4.4181 7.2407 -3.2291 0.5119 0.7507 7.8526 -0.9431" Properties=species:S:1:pos:R:3 pbc="T T T"
La 1.8783 1.0867 -0.1013
La 5.5989 -0.2190 2.3610
La 6.1131 3.5368 -0.3299
La 2.3199 5.3800 1.6259
Te 0.3754 3.9263 -0.4715
Te 3.9594 2.5805 1.9934
Te 3.6203 -1.6145 0.2559
Au -0.0363 0.2688 2.2090
```

Output
Symmetry   Cmmm, No. 65
Raw formation energy   -1.381 eV/atom


Entry 9:
A plane-wave DFT calculation with PBE-GGA was carried out for La2TeAu2 after structural relaxation.

Geometry as extended XYZ:
```
5
Lattice="5.5981 0.0000 0.0000 0.0000 5.5981 0.0000 2.7990 2.7990 4.9578" Properties=species:S:1:pos:R:3 pbc="T T T"
Te 0.0000 0.0000 0.0000
Au 2.7990 2.7990 1.3264
Au 5.5981 5.5981 3.6314
La 5.5981 2.7990 2.4789
La 2.7990 5.5981 2.4789
```

Output
Symmetry   I4/mmm, No. 139
Energy above the most stable polymorph in this dataset   1.17 eV per formula unit
Raw formation energy   -0.735 eV/atom


Entry 10:
A plane-wave DFT calculation with PBE-GGA was carried out for LaTe3Au after structural relaxation.

Geometry as extended XYZ:
```
5
Lattice="-4.1035 -3.5668 -0.1934 0.4816 -0.8443 5.3529 -3.5394 4.0204 0.9525" Properties=species:S:1:pos:R:3 pbc="T T T"
Te 0.2408 -0.4221 2.6764
Te -1.7697 2.0102 0.4763
Te -2.0517 -1.7834 -0.0967
Au 0.0000 0.0000 0.0000
La -3.5807 -0.1954 3.0560
```

Output
Symmetry   Pm-3m, No. 221
Energy above the most stable polymorph in this dataset   0.00 eV per formula unit
Raw formation energy   -0.419 eV/atom


Entry 11:
A plane-wave DFT calculation with PBE-GGA was carried out for La2TeAu after structural relaxation.

Geometry as extended XYZ:
```
4
Lattice="6.5560 0.0306 0.0000 3.4362 5.5834 0.0000 -4.9961 -2.8070 3.1846" Properties=species:S:1:pos:R:3 pbc="T T T"
Au 3.2780 0.0153 1.5923
La 0.0000 0.0000 0.0000
La 1.7181 2.7917 1.5923
Te 4.9961 2.8070 0.0000
```

Output
Symmetry   I-4m2, No. 119
Raw formation energy   -0.916 eV/atom


Entry 12:
A plane-wave DFT calculation with PBE-GGA was carried out for La3Te12Au5 after structural relaxation.

Geometry as extended XYZ:
```
80
Lattice="15.1251 0.0000 0.0000 -5.0417 14.2601 0.0000 -5.0417 -7.1300 12.3496" Properties=species:S:1:pos:R:3 pbc="T T T"
La 8.8230 4.4563 1.5437
La 8.8230 9.8038 1.5437
La -1.2604 6.2388 7.7185
La 1.2604 -0.8913 4.6311
La 11.3438 0.0000 3.0874
La 1.2604 7.1300 3.0874
La 3.7813 0.0000 9.2622
La -6.3021 7.1300 9.2622
La 3.7813 8.0213 7.7185
La 6.3021 0.8913 4.6311
La -3.7813 -2.6738 10.8059
La -3.7813 2.6738 10.8059
Au -1.2604 3.5650 3.0874
Au -2.5208 7.1300 0.0000
Au 0.0000 0.0000 0.0000
Au 3.7813 2.6738 1.5437
Au 5.0417 -3.5650 6.1748
Au 5.0417 7.1300 0.0000
Au -3.7813 8.0213 4.6311
Au 6.3021 -4.4563 10.8059
Au 6.3021 6.2388 4.6311
Au 1.2604 -3.5650 9.2622
Au 3.7813 10.6951 3.0874
Au 2.5208 3.5650 6.1748
Au 7.5625 0.0000 0.0000
Au -2.5208 -3.5650 6.1748
Au -1.2604 0.8913 7.7185
Au -1.2604 11.5863 1.5437
Au -5.0417 3.5650 6.1748
Au 8.8230 -0.8913 7.7185
Au 1.2604 4.4563 10.8059
Au 6.3021 3.5650 9.2622
Te 9.8894 1.5258 0.4627
Te 0.1940 4.7286 5.0847
Te 11.2005 3.2568 3.6031
Te 6.4454 2.0731 1.5528
Te 1.8579 5.3169 8.2838
Te 10.7315 7.1711 2.1090
Te -1.1171 8.3138 5.1559
Te -3.9246 12.1870 1.5528
Te 0.6629 8.9431 8.2838
Te 6.9144 7.0890 2.1090
Te 7.7565 3.9272 4.6220
Te 7.7565 12.7342 0.4627
Te -4.3787 6.2674 6.6375
Te 3.1690 5.2831 1.0189
Te -5.2357 10.3329 4.6220
Te 2.7148 -2.4014 7.2649
Te -0.6629 0.9505 2.5717
Te 3.1690 8.9360 1.0901
Te 6.4454 11.0033 3.6031
Te -0.6481 5.3241 1.0901
Te -3.1838 8.0805 9.7779
Te 3.6380 5.9463 5.1559
Te 6.8996 7.9927 6.6375
Te 5.6898 -1.8470 11.3306
Te 1.4037 1.1838 7.1937
Te -1.8579 -0.8626 5.7121
Te -0.6481 8.9770 1.0189
Te -1.4037 -3.8732 8.7465
Te 8.2255 -0.9505 2.5717
Te 5.6898 1.8059 11.2595
Te 1.8727 -1.8059 11.2595
Te 2.3269 9.5314 5.0847
Te 5.7046 6.1795 9.7779
Te 10.2774 -3.2028 7.7276
Te 9.4204 0.8626 5.7121
Te -2.7148 -5.6042 11.8869
Te 1.8727 1.8470 11.3306
Te 4.3787 -1.8131 4.0658
Te -1.8727 0.0411 10.2406
Te -2.7148 3.2028 7.7276
Te 8.9663 -5.0570 10.7968
Te 6.1588 -1.1838 7.1937
Te -1.4037 5.0570 10.7968
Te -5.6898 -0.0411 10.2406
Te 3.1838 1.8131 4.0658
Te -6.1588 3.8732 8.7465
Te 4.8477 2.4014 7.2649
Te -4.8477 5.6042 11.8869
```

Output
Symmetry   Ia-3d, No. 230
Raw formation energy   -0.509 eV/atom


Entry 13:
A plane-wave DFT calculation with PBE-GGA was carried out for LaTeAu3 after structural relaxation.

Geometry as extended XYZ:
```
5
Lattice="-2.4184 4.4053 1.4071 -4.4385 -1.7653 -2.1020 -1.2984 -2.1708 4.5647" Properties=species:S:1:pos:R:3 pbc="T T T"
Te 0.0000 0.0000 0.0000
Au -2.2193 -0.8826 -1.0510
Au -0.6492 -1.0854 2.2824
Au -1.2092 2.2026 0.7035
La -4.0777 0.2346 1.9349
```

Output
Symmetry   Pm-3m, No. 221
Energy above the most stable polymorph in this dataset   0.00 eV per formula unit
Raw formation energy   -0.003 eV/atom


Entry 14:
A plane-wave DFT calculation with PBE-GGA was carried out for La2Te4Au after structural relaxation.

Geometry as extended XYZ:
```
7
Lattice="5.2998 0.0000 0.0000 0.0000 5.2998 0.0000 2.6499 2.6499 8.5193" Properties=species:S:1:pos:R:3 pbc="T T T"
Te 5.2998 5.2998 3.1513
Te 2.6499 2.6499 5.3680
Te 0.0000 2.6499 0.0000
Te 2.6499 0.0000 0.0000
Au 0.0000 0.0000 0.0000
La 5.2998 5.2998 6.2774
La 2.6499 2.6499 2.2419
```

Output
Symmetry   I4/mmm, No. 139
Energy above the most stable polymorph in this dataset   1.88 eV per formula unit
Raw formation energy   -0.868 eV/atom


Entry 15:
A plane-wave DFT calculation with PBE-GGA was carried out for La2TeAu after structural relaxation.

Geometry as extended XYZ:
```
4
Lattice="5.3918 0.0000 0.0000 2.6959 4.6695 0.0000 2.6959 1.5565 4.4024" Properties=species:S:1:pos:R:3 pbc="T T T"
Au 5.3918 3.1130 2.2012
La 0.0000 0.0000 0.0000
La 2.6959 1.5565 1.1006
Te 8.0877 4.6695 3.3018
```

Output
Symmetry   F-43m, No. 216
Raw formation energy   -0.408 eV/atom


Entry 16:
A plane-wave DFT calculation with PBE-GGA was carried out for La4TeAu after structural relaxation.

Geometry as extended XYZ:
```
6
Lattice="-0.4813 -0.3747 6.3552 -3.0592 4.5689 3.2445 -5.6475 -1.2424 2.7059" Properties=species:S:1:pos:R:3 pbc="T T T"
La -4.9718 3.3746 6.2362
La -3.6941 0.9245 7.7779
La -6.2546 0.4944 5.9692
La -3.4556 1.1101 4.6281
Te -6.8910 2.2138 9.2292
Au 0.0000 0.0000 0.0000
```

Output
Symmetry   F-43m, No. 216
Raw formation energy   -0.070 eV/atom


Entry 17:
A plane-wave DFT calculation with PBE-GGA was carried out for LaTe4Au after structural relaxation.

Geometry as extended XYZ:
```
6
Lattice="5.1955 -0.2632 3.5707 -0.1199 2.2024 5.9117 0.2843 -4.0069 4.8659" Properties=species:S:1:pos:R:3 pbc="T T T"
La 0.0000 0.0000 0.0000
Te 4.6048 -0.9072 7.1660
Te 2.1530 -2.7762 7.8126
Te 1.9512 0.3237 8.3347
Te 2.0110 -0.7758 5.3834
Au 4.0200 -1.5508 10.7612
```

Output
Symmetry   F-43m, No. 216
Raw formation energy   -0.168 eV/atom


Entry 18:
A plane-wave DFT calculation with PBE-GGA was carried out for LaTe2Au after structural relaxation.

Geometry as extended XYZ:
```
16
Lattice="-4.4144 -4.0326 -3.3927 3.7619 -6.9213 3.3310 -5.0878 0.2675 6.3019" Properties=species:S:1:pos:R:3 pbc="T T T"
La -7.5610 -4.7888 4.0766
La -2.1713 -2.3259 3.1130
La 1.8207 -5.8975 2.1635
La -3.5690 -8.3605 3.1272
Te -0.4394 -7.0732 7.7595
Te -3.4183 -7.0738 0.1441
Te -5.3009 -3.6131 -1.5193
Te -2.3220 -3.6125 6.0961
Te -1.0631 -3.1736 0.0917
Te -0.9299 -6.5424 3.9221
Te -4.6772 -7.5127 6.1484
Te -4.8104 -4.1440 2.3180
Au -6.0334 -1.8273 3.0200
Au 0.2931 -8.8590 3.2202
Au -1.5857 -5.3985 1.5520
Au -4.1546 -5.2878 4.6882
```

Output
Symmetry   Pbcm, No. 57
Raw formation energy   -1.056 eV/atom


Entry 19:
A plane-wave DFT calculation with PBE-GGA was carried out for LaTe2Au after structural relaxation.

Geometry as extended XYZ:
```
4
Lattice="-0.0022 3.9911 0.8974 -3.2079 -0.5766 2.5562 2.9442 -1.4721 6.5539" Properties=species:S:1:pos:R:3 pbc="T T T"
Au -0.0670 1.4834 2.7262
La -0.1988 0.4591 7.2813
Te 2.4015 -1.5590 6.9390
Te 0.4109 -0.9374 4.1699
```

Output
Symmetry   P2/m, No. 10
Raw formation energy   -0.802 eV/atom


Entry 20:
A plane-wave DFT calculation with PBE-GGA was carried out for LaTe2Au after structural relaxation.

Geometry as extended XYZ:
```
4
Lattice="2.8229 0.0000 8.3815 -1.4114 2.4447 8.3815 -1.4114 -2.4447 8.3815" Properties=species:S:1:pos:R:3 pbc="T T T"
Te 0.0000 0.0000 22.5566
Te 0.0000 0.0000 2.5879
Au 0.0000 0.0000 0.0000
La 0.0000 0.0000 12.5723
```

Output
Symmetry   R-3m, No. 166
Raw formation energy   -0.902 eV/atom


Entry 21:
A plane-wave DFT calculation with PBE-GGA was carried out for La2TeAu after structural relaxation.

Geometry as extended XYZ:
```
4
Lattice="-1.8591 3.6939 -1.3552 -2.8315 2.0803 2.5676 4.4391 6.1257 3.6199" Properties=species:S:1:pos:R:3 pbc="T T T"
La 3.0713 5.1684 2.8872
La -0.1946 2.8827 1.1375
Te -0.1121 5.9595 2.4235
Au 1.2973 9.9648 4.4203
```

Output
Symmetry   R3m, No. 160
Raw formation energy   -1.093 eV/atom


Entry 22:
A plane-wave DFT calculation with PBE-GGA was carried out for LaTe3Au after structural relaxation.

Geometry as extended XYZ:
```
5
Lattice="6.1213 0.0000 0.0000 0.0000 6.1213 0.0000 0.0000 0.0000 6.1213" Properties=species:S:1:pos:R:3 pbc="T T T"
Te 0.0000 3.0607 0.0000
Te 0.0000 0.0000 3.0607
Te 3.0607 0.0000 0.0000
Au 3.0607 3.0607 3.0607
La 0.0000 0.0000 0.0000
```

Output
Symmetry   Pm-3m, No. 221
Energy above the most stable polymorph in this dataset   3.29 eV per formula unit
Raw formation energy   0.239 eV/atom


Entry 23:
A plane-wave DFT calculation with PBE-GGA was carried out for La2TeAu after structural relaxation.

Geometry as extended XYZ:
```
4
Lattice="-1.1006 -2.3989 -3.5012 3.1185 -1.5488 -2.6647 1.1230 -7.7996 2.2628" Properties=species:S:1:pos:R:3 pbc="T T T"
Te 2.3557 -8.8105 -2.9274
Au 0.7852 -2.9368 -0.9758
La 2.0267 -4.0525 -6.1032
La 1.5618 -5.7688 -2.0143
```

Output
Symmetry   C2/m, No. 12
Raw formation energy   -1.136 eV/atom